The following is a PBE calculation of an optimized crystal structure of TlCu2As, from the Alexandria database.

a = 5.282 Å, b = 5.282 Å, c = 5.282 Å
α = 135.90°, β = 135.90°, γ = 64.13°
Atoms (fractional coordinates):
1 As 0.750 0.250 0.500
2 Cu 0.000 0.000 0.000
3 Cu 0.250 0.750 0.500
4 Tl 0.500 0.500 0.000

Values from the calculation:
space-group type	No. 119
magnetization	0.00	μB/f.u.
energy relative to the elements	0.357	eV per atom
electronic total energy	-0.127	Ha/atom



The following is a PBE calculation of an optimized crystal structure of TlCu3As, from the Alexandria database.

a = 4.639 Å, b = 4.639 Å, c = 4.639 Å
α = 90.00°, β = 90.00°, γ = 90.00°
Atoms (fractional coordinates):
1 Tl 0.500 0.500 0.500
2 As 0.000 0.000 0.000
3 Cu 0.000 0.500 0.000
4 Cu 0.000 0.000 0.500
5 Cu 0.500 0.000 0.000

Values from the calculation:
space-group type	No. 221
magnetization	0.00	μB/f.u.
E above lowest polymorph	0.0	meV per atom
energy relative to the elements	0.281	eV per atom
electronic total energy	-0.132	Ha/atom



The following is a PBE calculation of an optimized crystal structure of TlCu2As, from the Alexandria database.

a = 3.130 Å, b = 3.130 Å, c = 7.602 Å
α = 90.00°, β = 90.00°, γ = 90.00°
Atoms (fractional coordinates):
1 As 0.500 0.500 0.839
2 Cu 0.000 0.000 0.019
3 Cu 0.500 0.500 0.182
4 Tl 0.000 0.000 0.460

Values from the calculation:
space-group type	No. 99
magnetization	0.00	μB/f.u.
energy relative to the elements	0.210	eV per atom
electronic total energy	-0.132	Ha/atom



The following is a PBE calculation of an optimized crystal structure of TlCu2As, from the Alexandria database.

a = 3.261 Å, b = 3.264 Å, c = 6.870 Å
α = 90.00°, β = 90.00°, γ = 90.00°
Atoms (fractional coordinates):
1 As 0.500 0.500 0.750
2 Cu 0.000 0.000 0.938
3 Cu 0.000 0.000 0.562
4 Tl 0.500 0.500 0.250

Values from the calculation:
space-group type	No. 123
magnetization	0.00	μB/f.u.
energy relative to the elements	0.256	eV per atom
electronic total energy	-0.130	Ha/atom



Question: energy relative to the elements of number 1 (TlCu2As)?
Answer: 0.357 eV per atom